Material: ZrWBr
Method: DFT, meta-GGA SCAN
State: PBEsol geometry

Unit cell a=3.0552 b=3.0552 c=7.3409 alpha=90.00 beta=90.00 gamma=120.00
With the nearest neighbours (Å) after each atom.
Space group P3m1 (No. 156)
Symmetry-distinct sites (fractional):
Zr 0.0000 0.0000 0.0000 (multiplicity 1)  3 Br 2.69, 3 W 3.01
W 0.6667 0.3333 0.3315 (multiplicity 1)  3 Zr 3.01, 6 W 3.06
Br 0.3333 0.6667 0.7235 (multiplicity 1)  3 Zr 2.69

Computed properties:
Energy relative to the elements, uncorrected (eV/atom): 0.499
DOS(E_F) (states/eV per atom): 0.90
M_tot (μB/f.u.): 0.00